# 1
DFT (PBE) results for a relaxed structure of AsIr2Se.

Properties
Polymorph energy (0 for the lowest one): 186 kJ/mol of formula units
Mass density: 13.848 Mg/m³
Magnetization: 0.00 μB/f.u.
DOS at the Fermi energy: 2.3 states/eV per cell
Symmetry: No. 65

Unit cell a=2.8813 b=2.8813 c=8.9814 alpha=90.00 beta=90.00 gamma=120.03
Last column: nearest neighbours and their distance in Å.
Fractional positions:
Ir 0.0000 0.0000 0.9912  2 As 2.60, 2 Se 2.73, 6 Ir 2.88
Se 0.5000 0.5000 0.2500  4 Ir 2.73, 6 Se 2.88
Ir 0.0000 0.0000 0.5088  2 As 2.60, 2 Se 2.73, 6 Ir 2.88
As 0.5000 0.5000 0.7500  4 Ir 2.60, 6 As 2.88

# 2
DFT (PBE) results for a relaxed structure of NdTl2Cd.

Properties
Polymorph energy (0 for the lowest one): 47 kJ/mol of formula units
Mass density: 10.045 Mg/m³
Magnetization: 0.00 μB/f.u.
DOS at the Fermi energy: 2.7 states/eV per cell
Energy relative to the elements: -70 kJ/mol of formula units
Symmetry: No. 225

Unit cell a=5.3782 b=5.3782 c=5.3782 alpha=60.00 beta=60.00 gamma=60.00
Last column: nearest neighbours and their distance in Å.
Fractional positions:
Tl 0.7500 0.7500 0.7500  4 Nd 3.29, 4 Cd 3.29
Nd 0.0000 0.0000 0.0000  8 Tl 3.29
Tl 0.2500 0.2500 0.2500  4 Cd 3.29, 4 Nd 3.29
Cd 0.5000 0.5000 0.5000  8 Tl 3.29

# 3
DFT (PBE) results for a relaxed structure of TmSnBi.

Properties
Polymorph energy (0 for the lowest one): 73 kJ/mol of formula units
Mass density: 9.634 Mg/m³
Magnetization: 0.00 μB/f.u.
DOS at the Fermi energy: 2.4 states/eV per cell
Energy relative to the elements: -66 kJ/mol of formula units
Symmetry: No. 156

Unit cell a=3.3021 b=5.4711 c=5.4711 alpha=120.00 beta=90.00 gamma=90.00
Last column: nearest neighbours and their distance in Å.
Fractional positions:
Tm 0.3325 0.3333 0.6667  2 Tm 3.30, 6 Sn 3.56-3.57, 6 Bi 3.56-3.57
Sn 0.8371 0.0000 0.0000  3 Bi 3.16, 2 Sn 3.30
Bi 0.8305 0.6667 0.3333  3 Sn 3.16, 2 Bi 3.30

# 4
DFT (PBE) results for a relaxed structure of La12YEr5.

Properties
Mass density: 6.896 Mg/m³
Magnetization: 0.00 μB/f.u.
DOS at the Fermi energy: 25.0 states/eV per cell
Energy relative to the elements: 33 kJ/mol of formula units
Symmetry: No. 12

Unit cell a=10.8870 b=11.0078 c=6.3692 alpha=72.88 beta=90.00 gamma=60.36
Last column: nearest neighbours and their distance in Å.
Fractional positions:
La 0.9956 0.6657 0.0003  4 Er 3.58-3.70, 7 La 3.60-3.74, 1 Y 3.70
La 0.1720 0.0000 0.5000  3 Er 3.57-3.70, 7 La 3.62-3.75, 2 Y 3.69
Er 0.8330 0.3341 0.4985  10 La 3.58-3.70, 1 Er 3.66, 1 Y 3.67
La 0.5047 0.3332 0.5007  5 Er 3.58-3.69, 7 La 3.61-3.73
La 0.8380 0.6668 0.4993  5 Er 3.58-3.69, 7 La 3.61-3.73
Er 0.6667 0.6667 0.9993  10 La 3.58-3.69, 2 Er 3.66
Er 0.5000 0.0000 0.5000  10 La 3.57-3.69, 2 Er 3.66
La 0.0044 0.3343 0.9997  4 Er 3.58-3.70, 7 La 3.60-3.74, 1 Y 3.70
Er 0.3333 0.3333 0.0007  10 La 3.58-3.69, 2 Er 3.66
La 0.6613 0.3343 0.9998  4 Er 3.58-3.70, 7 La 3.60-3.74, 1 Y 3.70
La 0.3387 0.6657 0.0002  4 Er 3.58-3.70, 7 La 3.60-3.74, 1 Y 3.70
La 0.1620 0.3332 0.5007  5 Er 3.58-3.69, 7 La 3.61-3.73
La 0.6696 0.0000 0.0000  1 Y 3.60, 7 La 3.62-3.69, 4 Er 3.68-3.69
Er 0.1670 0.6659 0.5015  10 La 3.58-3.70, 1 Er 3.66, 1 Y 3.67
La 0.8280 0.0000 0.5000  3 Er 3.57-3.70, 7 La 3.62-3.75, 2 Y 3.69
Y 0.0000 0.0000 0.0000  10 La 3.60-3.70, 2 Er 3.67
La 0.4953 0.6668 0.4993  5 Er 3.58-3.69, 7 La 3.61-3.73
La 0.3304 0.0000 0.0000  1 Y 3.60, 7 La 3.62-3.69, 4 Er 3.68-3.69